Entry 1:
Material: DyNb2Se6
Method: DFT, PBE
State: relaxed

The space group is C2/m (No. 12) and the conventional cell measures 12.880, 4.852 and 9.105 Å, with angles of 90.00, 117.75 and 90.00 degrees. The inequivalent atoms are Dy at (0.000, 0.000, 0.000), Nb at (0.177, 0.000, 0.623), Se at (0.015, 0.000, 0.697), Se at (0.150, 0.500, 0.095) and Se at (0.201, 0.500, 0.556).

The calculation puts the density of states at the Fermi level at 8.6 states/eV per cell. The value obtained for the uncorrected formation energy is -826 meV/atom.

***

Entry 2:
Material: SmRu2O6
Method: DFT, PBE
State: relaxed

The space group is C2/m (No. 12) and the conventional cell measures 10.197, 3.905 and 7.107 Å, with angles of 90.00, 120.44 and 90.00 degrees. The inequivalent atoms are Sm at (0.000, 0.000, 0.000), Ru at (0.176, 0.000, 0.596), O at (0.021, 0.000, 0.680), O at (0.154, 0.500, 0.112) and O at (0.211, 0.500, 0.571).

The calculation puts the density of states at the Fermi level at 13.8 states/eV per cell. The relative energy among the computed polymorphs is 55 meV/atom. The value obtained for the uncorrected formation energy is -1545 meV/atom.

***

Entry 3:
Material: Re2SeCl
Method: DFT, PBE
State: relaxed

The space group is Pm (No. 6) and the conventional cell measures 3.083, 2.929 and 8.980 Å, with angles of 90.00, 90.70 and 90.00 degrees. The inequivalent atoms are Re at (0.000, 0.000, 0.000), Re at (0.494, 0.500, 0.828), Se at (0.486, 0.000, 0.600) and Cl at (0.007, 0.500, 0.216).

The calculation puts the density of states at the Fermi level at 2.0 states/eV per cell. The relative energy among the computed polymorphs is 0 meV/atom. The value obtained for the uncorrected formation energy is -16 meV/atom.

***

Entry 4:
Material: Pm6Ga2Pd
Method: DFT, PBE
State: relaxed

The space group is Immm (No. 71) and the conventional cell measures 9.801, 10.078 and 10.265 Å, with angles of 90.00, 90.00 and 90.00 degrees. The inequivalent atoms are Pm at (0.000, 0.208, 0.172), Pm at (0.172, 0.241, 0.500), Pm at (0.191, 0.500, 0.238), Ga at (0.000, 0.000, 0.377), Ga at (0.142, 0.000, 0.000), Pd at (0.000, 0.500, 0.000) and Pd at (0.000, 0.500, 0.500).

The calculation puts the density of states at the Fermi level at 34.5 states/eV per cell. The calculation puts the formation energy at -403 meV/atom. The relative energy among the computed polymorphs is 0 meV/atom.

***

Entry 5:
Material: LiNi2P
Method: DFT, PBE
State: relaxed

The space group is P2/m (No. 10) and the conventional cell measures 2.622, 3.641 and 4.958 Å, with angles of 90.00, 103.63 and 90.00 degrees. The inequivalent atoms are Li at (0.000, 0.000, 0.000), Ni at (0.360, 0.500, 0.730) and P at (0.500, 0.000, 0.500).

The calculation puts the density of states at the Fermi level at 2.3 states/eV per cell. The calculation puts the formation energy at -255 meV/atom.

***

Entry 6:
Material: BeTlAs2Br
Method: DFT, PBE
State: relaxed

The space group is P4/mmm (No. 123) and the conventional cell measures 5.416, 5.416 and 5.746 Å, with angles of 90.00, 90.00 and 90.00 degrees. The inequivalent atoms are Be at (0.000, 0.000, 0.000), Tl at (0.500, 0.500, 0.500), As at (0.000, 0.500, 0.500) and Br at (0.500, 0.500, 0.000).

The calculation puts the density of states at the Fermi level at 5.4 states/eV per cell. The relative energy among the computed polymorphs is 1122 meV/atom. The value obtained for the uncorrected formation energy is 1283 meV/atom.